Compound: Ho2BAsPt6
Source: Alexandria
Functional: PBE-GGA
Structure: relaxed

The structure in POSCAR format:
```
Ho2BAsPt6
1.0
5.690 0.000 0.000
0.000 8.486 0.000
0.000 0.000 7.446
Ho B As Pt
4 2 2 12
Cartesian
1.423 0.260 1.685 Ho
1.423 3.983 1.685 Ho
4.268 4.503 5.762 Ho
4.268 8.226 5.762 Ho
1.423 2.121 5.234 B
4.268 6.364 2.212 B
1.423 6.364 6.098 As
4.268 2.121 1.348 As
0.023 6.364 3.743 Pt
0.041 2.121 6.842 Pt
1.423 0.008 4.870 Pt
1.423 4.235 4.870 Pt
2.804 2.121 6.842 Pt
2.822 6.364 3.743 Pt
2.868 2.121 3.704 Pt
2.886 6.364 0.605 Pt
4.268 4.251 2.577 Pt
4.268 8.478 2.577 Pt
5.649 6.364 0.605 Pt
5.667 2.121 3.704 Pt
```

Computed properties:
ΔE_f	-0.844	eV per atom
symmetry	Pmmn, No. 59
spin magnetization	0.00	μB per cell
uncorrected energy	-6.5171	eV per atom

=====

Compound: Ho2BAsRh6
Source: Alexandria
Functional: PBE-GGA
Structure: relaxed

The structure in POSCAR format:
```
Ho2BAsRh6
1.0
4.426 0.000 0.000
0.000 4.426 0.000
0.000 0.000 8.675
Ho B As Rh
2 1 1 6
Cartesian
0.000 0.000 2.035 Ho
0.000 0.000 6.640 Ho
2.213 2.213 0.000 B
2.213 2.213 4.337 As
0.000 2.213 0.000 Rh
0.000 2.213 4.337 Rh
2.213 0.000 0.000 Rh
2.213 0.000 4.337 Rh
2.213 2.213 2.001 Rh
2.213 2.213 6.674 Rh
```

Computed properties:
ΔE_f	-0.567	eV per atom
symmetry	P4/mmm, No. 123
spin magnetization	0.00	μB per cell
uncorrected energy	-7.0263	eV per atom

=====

Compound: Ho2B2AsRh5
Source: Alexandria
Functional: PBE-GGA
Structure: relaxed

The structure in POSCAR format:
```
Ho2B2AsRh5
1.0
9.408 0.000 0.000
0.000 9.408 0.000
0.000 0.000 3.263
Ho B As Rh
4 4 2 10
Cartesian
1.650 3.054 0.000 Ho
3.054 7.758 0.000 Ho
6.354 1.650 0.000 Ho
7.758 6.354 0.000 Ho
1.136 5.840 0.000 B
3.568 1.136 0.000 B
5.840 8.273 0.000 B
8.273 3.568 0.000 B
0.000 0.000 0.000 As
4.704 4.704 0.000 As
0.000 4.704 1.632 Rh
0.663 7.348 1.632 Rh
2.060 0.663 1.632 Rh
2.644 5.367 1.632 Rh
4.041 2.644 1.632 Rh
4.704 0.000 1.632 Rh
5.367 6.764 1.632 Rh
6.764 4.041 1.632 Rh
7.348 8.745 1.632 Rh
8.745 2.060 1.632 Rh
```

Computed properties:
ΔE_f	-0.797	eV per atom
symmetry	P4/mbm, No. 127
spin magnetization	0.00	μB per cell
uncorrected energy	-7.1892	eV per atom

=====

Compound: BAsI2
Source: Alexandria
Functional: PBE-GGA
Structure: relaxed

The structure in POSCAR format:
```
BAsI2
1.0
0.000 3.640 3.640
3.640 0.000 3.640
3.640 3.640 0.000
B As I
1 1 2
Cartesian
0.000 0.000 0.000 B
3.640 3.640 3.640 As
1.820 1.820 1.820 I
5.460 5.460 5.460 I
```

Computed properties:
offset from the most stable computed form	191	meV/atom
formation energy (no corrections)	1.3966	eV per atom
symmetry	Fm-3m, No. 225
spin magnetization	0.00	μB per cell
uncorrected energy	-2.2102	eV per atom